K3SbTe3 | meta-GGA SCAN | single point on PBEsol structure

uncorrected formation energy = -0.89 eV/atom
VASP energy = -25.748 eV per atom

a b c (Å): 10.2750 10.2750 10.2750
angles (deg): 90.00 90.00 90.00
Space group P2_13 (No. 198)
Symmetry-distinct sites (fractional):
1 K 0.0771 0.0771 0.0771 x4
2 K 0.1751 0.3249 0.6751 x4
3 K 0.1813 0.6813 0.8187 x4
4 Sb 0.0330 0.9670 0.4670 x4
5 Te 0.0015 0.2254 0.3852 x12